[1]
Material: Nd3ScIr8
Method: DFT, PBE
State: optimized geometry

```
Nd3ScIr8
1.0
5.1653 0.0000 1.5593
2.3473 4.6012 1.5593
-0.0006 -0.0003 9.3369
Nd Sc Ir
3 1 8
direct
0.3754 0.3754 0.8737 Nd
0.9981 0.9981 0.0056 Nd
0.5013 0.5013 0.4960 Nd
0.8737 0.8737 0.3790 Sc
0.9351 0.4365 0.1919 Ir
0.4411 0.9383 0.6823 Ir
0.4365 0.4365 0.1919 Ir
0.9383 0.9383 0.6823 Ir
0.1879 0.1879 0.4363 Ir
0.6877 0.6877 0.9369 Ir
0.4365 0.9351 0.1919 Ir
0.9383 0.4411 0.6823 Ir
```

Output
- density (g/cm3) = 15.08
- spin magnetization (μB per formula unit) = 0.00
- uncorrected energy (eV per cell) = -99.8
- ΔH_f (0 K) (meV/atom) = -692

=====

[2]
Material: Ho4CoBi
Method: DFT, PBE
State: optimized geometry

```
Ho4CoBi
1.0
3.7777 0.0000 0.0000
0.0000 8.4249 0.0000
0.0000 0.0000 19.8588
Ho Co Bi
16 4 4
direct
0.7500 0.8766 0.6454 Ho
0.2500 0.1234 0.3545 Ho
0.2500 0.6234 0.1454 Ho
0.7500 0.3766 0.8546 Ho
0.7500 0.8541 0.4561 Ho
0.2500 0.1459 0.5439 Ho
0.2500 0.6459 0.9561 Ho
0.7500 0.3541 0.0439 Ho
0.7500 0.0383 0.9330 Ho
0.2500 0.9617 0.0670 Ho
0.2500 0.4617 0.4330 Ho
0.7500 0.5383 0.5670 Ho
0.7500 0.9381 0.2134 Ho
0.2500 0.0619 0.7866 Ho
0.2500 0.5619 0.7134 Ho
0.7500 0.4381 0.2866 Ho
0.7500 0.2178 0.4455 Co
0.2500 0.7822 0.5545 Co
0.2500 0.2822 0.9455 Co
0.7500 0.7178 0.0545 Co
0.7500 0.7572 0.8167 Bi
0.2500 0.2428 0.1833 Bi
0.2500 0.7428 0.3167 Bi
0.7500 0.2572 0.6833 Bi
```

Output
- density (g/cm3) = 9.75
- spin magnetization (μB per formula unit) = 0.00
- uncorrected energy (eV per cell) = -126.2
- ΔH_f (0 K) (meV/atom) = -376

=====

[3]
Material: MgTi2Ru
Method: DFT, PBE
State: optimized geometry

```
MgTi2Ru
1.0
3.1981 0.0000 0.0000
0.0000 4.4790 0.0000
0.0000 0.0000 4.4790
Ru Mg Ti
1 1 2
direct
0.5000 0.5000 0.5000 Ru
0.5000 0.0000 0.0000 Mg
0.0000 0.0000 0.5000 Ti
0.0000 0.5000 0.0000 Ti
```

Output
- density (g/cm3) = 5.72
- spin magnetization (μB per formula unit) = 0.00
- uncorrected energy (eV per cell) = -27.4
- ΔH_f (0 K) (meV/atom) = -185